Record 1
First-principles (PBE) data for crystalline PdCBr2 at its relaxed geometry, as listed in Alexandria.

a = 5.5609 Å, b = 5.5609 Å, c = 11.7883 Å
α = 90.00°, β = 90.00°, γ = 90.00°
Closest atoms and distances in Å follow each position.
Space group I-42d (No. 122)
Asymmetric unit:
1 Pd 0.0000 0.0000 0.0000 (multiplicity 4)  4 Br 2.61
2 C 0.0000 0.0000 0.5000 (multiplicity 4)  4 Br 2.32
3 Br 0.2045 0.2500 0.6250 (multiplicity 8)  2 C 2.32

Results
The calculation puts the density of states at the Fermi level at 0.30 states/eV/atom. The magnetic moment is 0.0 μB/f.u. The calculation puts the offset from the most stable computed form at 0.000 eV/atom. The total DFT energy (no corrections) is -0.1129 Ha/atom.

Record 2
First-principles (PBE) data for crystalline TmSc2In3Se6 at its relaxed geometry, as listed in Alexandria.

a = 6.9147 Å, b = 11.9661 Å, c = 8.0348 Å
α = 90.00°, β = 106.66°, γ = 90.00°
Closest atoms and distances in Å follow each position.
Space group C2/m (No. 12)
Asymmetric unit:
1 Tm 0.0000 0.0000 0.0000 (multiplicity 2)  6 Se 2.82-2.84
2 Sc 0.0000 0.3331 0.0000 (multiplicity 4)  6 Se 2.74-2.76
3 In 0.0000 0.1632 0.5000 (multiplicity 4)  6 Se 3.23-3.27
4 In 0.0000 0.5000 0.5000 (multiplicity 2)  6 Se 3.22-3.27
5 Se 0.2236 0.5000 0.1993 (multiplicity 4)  2 Sc 2.74, 1 Tm 2.82
6 Se 0.2389 0.1714 0.2026 (multiplicity 8)  2 Sc 2.75-2.76, 1 Tm 2.84

Results
The magnetic moment is 0.0 μB/f.u. The total DFT energy (no corrections) is -0.1864 Ha/atom.